# 1
Crystalline ErSc2Tl3Se6 at its relaxed geometry. Source: the Alexandria database, functional PBE.

The space group is C2/m (No. 12) and the conventional cell measures 6.9932, 12.1042 and 8.0914 Å, with angles of 90.00, 106.75 and 90.00 degrees. The inequivalent atoms are Er at (0.0000, 0.0000, 0.0000), Sc at (0.0000, 0.3332, 0.0000), Tl at (0.0000, 0.1636, 0.5000), Tl at (0.0000, 0.5000, 0.5000), Se at (0.2214, 0.5000, 0.1954) and Se at (0.2379, 0.1719, 0.1980).

Its formation energy without anion corrections is -1500 kJ/mol of formula units. As for the total magnetic moment: 0.00 μB per formula unit.

# 2
Crystalline ScSbC3 at its relaxed geometry. Source: the Alexandria database, functional PBE.

The space group is Pm-3m (No. 221) and the conventional cell measures 4.1889, 4.1889 and 4.1889 Å, with angles of 90.00, 90.00 and 90.00 degrees. The inequivalent atoms are Sc at (0.0000, 0.0000, 0.0000), Sb at (0.5000, 0.5000, 0.5000) and C at (0.0000, 0.5000, 0.5000).

The density of states at the Fermi level is 0.997 states/eV/atom. The value obtained for the energy above the most stable polymorph in this dataset is 0.000 eV/atom. Its formation energy without anion corrections is 1021 kJ/mol of formula units. As for the total magnetic moment: 0.00 μB per formula unit.

# 3
Crystalline AlNiAs at its relaxed geometry. Source: the Alexandria database, functional PBE.

The space group is F-43m (No. 216) and the conventional cell measures 5.6835, 5.6835 and 5.6835 Å, with angles of 90.00, 90.00 and 90.00 degrees. The inequivalent atoms are Al at (0.0000, 0.0000, 0.0000), Ni at (0.2500, 0.2500, 0.2500) and As at (0.0000, 0.0000, 0.5000).

Its calculated formation energy is -1.27 eV per formula unit. The density of states at the Fermi level is 0.249 states/eV/atom. As for the total magnetic moment: 0.00 μB per formula unit.

# 4
Crystalline TaRu2Au at its relaxed geometry. Source: the Alexandria database, functional PBE.

The space group is R3m (No. 160, hexagonal axes) and the conventional cell measures 2.8271, 2.8271 and 27.7731 Å, with angles of 90.00, 90.00 and 120.00 degrees. The inequivalent atoms are Ta at (0.0000, 0.0000, 0.0000), Ru at (0.0000, 0.0000, 0.2483), Ru at (0.0000, 0.0000, 0.5086) and Au at (0.0000, 0.0000, 0.7548).

Its calculated formation energy is 0.72 eV per formula unit. The density of states at the Fermi level is 1.042 states/eV/atom. The value obtained for the energy above the most stable polymorph in this dataset is 0.337 eV/atom. As for the total magnetic moment: 0.00 μB per formula unit.

# 5
Crystalline Ho2PuGa6 at its relaxed geometry. Source: the Alexandria database, functional PBE.

The space group is P6/mmm (No. 191) and the conventional cell measures 7.7150, 7.7150 and 3.5380 Å, with angles of 90.00, 90.00 and 120.00 degrees. The inequivalent atoms are Ho at (0.3333, 0.6667, 0.0000), Pu at (0.0000, 0.0000, 0.0000) and Ga at (0.0000, 0.3345, 0.5000).

Its calculated formation energy is -4.76 eV per formula unit. The density of states at the Fermi level is 0.881 states/eV/atom. The value obtained for the energy above the most stable polymorph in this dataset is 0.000 eV/atom. As for the total magnetic moment: 5.70 μB per formula unit.

# 6
Crystalline Ti3NiH4 at its relaxed geometry. Source: the Alexandria database, functional PBE.

The space group is Pmn2_1 (No. 31) and the conventional cell measures 5.7352, 5.2924 and 4.8436 Å, with angles of 90.00, 90.00 and 90.00 degrees. The inequivalent atoms are Ti at (0.0000, 0.1462, 0.0000), Ti at (0.2491, 0.6405, 0.0171), Ni at (0.0000, 0.8436, 0.5095), H at (0.0000, 0.1394, 0.6054), H at (0.0000, 0.8262, 0.1652) and H at (0.2313, 0.6970, 0.6315).

The density of states at the Fermi level is 0.705 states/eV/atom. Its total energy is -5.628 eV per atom. As for the total magnetic moment: 0.00 μB per formula unit.

# 7
Crystalline TaBRu2Se at its relaxed geometry. Source: the Alexandria database, functional PBE.

The space group is P4/mmm (No. 123) and the conventional cell measures 4.7793, 4.7793 and 4.2633 Å, with angles of 90.00, 90.00 and 90.00 degrees. The inequivalent atoms are Ta at (0.0000, 0.0000, 0.0000), B at (0.0000, 0.0000, 0.5000), Ru at (0.0000, 0.5000, 0.0000) and Se at (0.5000, 0.5000, 0.5000).

The density of states at the Fermi level is 1.032 states/eV/atom. Its formation energy without anion corrections is 771 kJ/mol of formula units. As for the total magnetic moment: 0.00 μB per formula unit.

# 8
Crystalline MgSb2Te at its relaxed geometry. Source: the Alexandria database, functional PBE.

The space group is Imm2 (No. 44) and the conventional cell measures 3.6797, 5.2602 and 11.0181 Å, with angles of 90.00, 90.00 and 90.00 degrees. The inequivalent atoms are Mg at (0.0000, 0.0000, 0.0000), Sb at (0.0000, 0.0000, 0.5017), Sb at (0.0000, 0.5000, 0.7661) and Te at (0.0000, 0.5000, 0.2662).

The density of states at the Fermi level is 0.541 states/eV/atom. The value obtained for the energy above the most stable polymorph in this dataset is 0.300 eV/atom. Its formation energy without anion corrections is 11 kJ/mol of formula units. As for the total magnetic moment: 0.00 μB per formula unit.